Entry 1:
The following is a DFT calculation (GGA-PBE) of crystalline Tb2Nd12Sc at its relaxed geometry.

a = 6.835 Å, b = 6.835 Å, c = 24.908 Å
α = 90.00°, β = 90.00°, γ = 116.20°
Sites, in units of the cell vectors:
Tb (0.250, 0.750, 0.235)
Tb (0.250, 0.750, 0.770)
Tb (0.750, 0.250, 0.230)
Tb (0.750, 0.250, 0.765)
Nd (0.002, 0.502, 0.625)
Nd (0.002, 0.998, 0.429)
Nd (0.020, 0.520, 0.085)
Nd (0.025, 0.975, 0.940)
Nd (0.250, 0.250, 0.176)
Nd (0.250, 0.250, 0.303)
Nd (0.250, 0.250, 0.697)
Nd (0.250, 0.250, 0.824)
Nd (0.475, 0.525, 0.940)
Nd (0.480, 0.980, 0.085)
Nd (0.498, 0.502, 0.429)
Nd (0.498, 0.998, 0.625)
Nd (0.502, 0.002, 0.375)
Nd (0.502, 0.498, 0.571)
Nd (0.520, 0.020, 0.915)
Nd (0.525, 0.475, 0.060)
Nd (0.750, 0.750, 0.176)
Nd (0.750, 0.750, 0.303)
Nd (0.750, 0.750, 0.697)
Nd (0.750, 0.750, 0.824)
Nd (0.975, 0.025, 0.060)
Nd (0.980, 0.480, 0.915)
Nd (0.998, 0.002, 0.571)
Nd (0.998, 0.498, 0.375)
Sc (0.250, 0.750, 0.500)
Sc (0.750, 0.250, 0.500)

DFT formation energy   0.164 eV/atom

Entry 2:
The following is a DFT calculation (GGA-PBE) of crystalline ErSc4Rh5 at its relaxed geometry.

a = 3.223 Å, b = 3.223 Å, c = 16.702 Å
α = 90.00°, β = 90.00°, γ = 90.00°
Sites, in units of the cell vectors:
Er (0.000, 0.000, 0.000)
Sc (0.000, 0.000, 0.206)
Sc (0.000, 0.000, 0.402)
Sc (0.000, 0.000, 0.598)
Sc (0.000, 0.000, 0.794)
Rh (0.500, 0.500, 0.110)
Rh (0.500, 0.500, 0.305)
Rh (0.500, 0.500, 0.500)
Rh (0.500, 0.500, 0.695)
Rh (0.500, 0.500, 0.890)

DFT formation energy   -0.992 eV/atom